# KSc2Cl6

An optimized crystal structure of KSc2Cl6 (GGA-PBE, the Alexandria database).

abc: 6.564 6.564 7.154
angles: 90.00 90.00 120.00
Atoms (fractional coordinates):
K: 0.000 0.000 0.000
Sc: 0.333 0.667 0.500
Sc: 0.667 0.333 0.500
Cl: 0.000 0.366 0.706
Cl: 0.000 0.634 0.294
Cl: 0.366 0.000 0.706
Cl: 0.366 0.366 0.294
Cl: 0.634 0.000 0.294
Cl: 0.634 0.634 0.706

Output
The formation energy (no corrections) is -46.90 kcal/mol of atoms. For the spin magnetization, the calculation gives 1.0 μB per formula unit. As for the crystal system: trigonal. Its space group is No. 162. Its density of states at the Fermi level is 0.653 states/eV/atom.